Below is crystalline LiMoCl2 at its relaxed geometry, with properties calculated at the PBE level.

As for the density of states at the Fermi level: 1.008 states/eV/f.u. The uncorrected formation energy comes out at -240.5 meV per atom. Its volume is 21.11 Å³/atom. The excess energy over the best structure of this formula in the dataset comes out at 302 meV/atom. The value obtained for the total energy is -4.3500 eV per atom. The value obtained for the density is 3.4 Mg/m³. The magnetic moment comes out at 3.01 μB/f.u.

It has space group Imm2 (No. 44), with a = 3.266 Å, b = 3.660 Å, c = 14.127 Å, α = 90.00°, β = 90.00° and γ = 90.00°. The asymmetric unit holds Li at (0.000, 0.000, 0.000), Mo at (0.000, 0.500, 0.684), Cl at (0.000, 0.000, 0.498) and Cl at (0.000, 0.500, 0.234).